1.
The following is a GGA-PBEsol calculation of crystalline TeAs2Br at its relaxed geometry, from Alexandria.

Lattice parameters (Å, degrees): 3.722 3.722 6.997 90.00 90.00 90.00
Positions (direct):
Te: 0.000 0.000 0.000
As: 0.500 0.500 0.188
As: 0.500 0.500 0.812
Br: 0.000 0.000 0.500

Calculated values
- Calculated volume: 24.236 Å³ per atom
- Total DFT energy (no corrections): -3.65 eV per atom
- Spin magnetization: 0.000 μB/cell
- Uncorrected formation energy: 5.854 kcal/mol of atoms

2.
The following is a GGA-PBEsol calculation of crystalline CaYCo3 at its relaxed geometry, from Alexandria.

Lattice parameters (Å, degrees): 4.460 4.460 4.460 90.00 90.00 90.00
Positions (direct):
Ca: 0.000 0.000 0.000
Y: 0.500 0.500 0.500
Co: 0.000 0.000 0.500
Co: 0.000 0.500 0.000
Co: 0.500 0.000 0.000

Calculated values
- Calculated volume: 17.740 Å³ per atom
- Formation enthalpy at 0 K: 6.28 eV per formula unit
- Total DFT energy (no corrections): -5.18 eV per atom
- Spin magnetization: 1.844 μB/cell

3.
The following is a GGA-PBEsol calculation of crystalline SrAs2P2 at its relaxed geometry, from Alexandria.

Lattice parameters (Å, degrees): 6.895 6.895 6.895 145.52 145.52 49.56
Positions (direct):
Sr: 0.000 0.000 0.000
As: 0.250 0.750 0.500
As: 0.750 0.250 0.500
P: 0.415 0.415 0.000
P: 0.585 0.585 0.000

Calculated values
- Calculated volume: 20.914 Å³ per atom
- Formation enthalpy at 0 K: -0.93 eV per formula unit
- Total DFT energy (no corrections): -4.91 eV per atom
- Spin magnetization: 0.000 μB/cell